{
  "formula": "LuFeBiMo",
  "functional": "PBE-GGA",
  "state": "optimized geometry",
  "density_g_cm3": 11.32,
  "polymorph_energy_mev_per_atom": 139,
  "lattice": [[-1.258, -4.209, -1.954], [-1.603, -3.566, 2.798], [-4.630, -1.287, -0.162]],
  "species": ["Lu", "Bi", "Fe", "Mo"],
  "fractional_positions": [[0.250, 0.250, 0.250], [0.000, 0.000, 0.000], [0.750, 0.750, 0.750], [0.500, 0.500, 0.500]]
}

***

{
  "formula": "Dy2BiIBr",
  "functional": "PBE-GGA",
  "state": "optimized geometry",
  "density_g_cm3": 7.18,
  "total_energy_ev_per_atom": -4.504,
  "lattice": [[4.306, 0.000, 0.000], [-2.153, 3.729, 0.000], [0.000, 0.000, 10.678]],
  "species": ["I", "Dy", "Dy", "Bi", "Br"],
  "fractional_positions": [[0.333, 0.667, 0.344], [0.667, 0.333, 0.162], [0.333, 0.667, 0.828], [0.000, 0.000, 0.995], [0.667, 0.333, 0.671]]
}

***

no.,magnetic moment (μB per atom),volume (Å³ per cell)
1,0.97,78.6
2,0.00,171.4